Entry 1:
The following is a PBE-GGA calculation of LaNbH2 after structural relaxation, from the Alexandria database.

Cell and atoms, written as extended XYZ:
```
4
Lattice="0.000 3.028 3.028 3.028 0.000 3.028 3.028 3.028 0.000" Properties=species:S:1:pos:R:3 pbc="T T T"
H 1.514 1.514 1.514
H 4.543 4.543 4.543
La 3.028 3.028 3.028
Nb 0.000 0.000 0.000
```

Magnetic moment (μB/atom): 0.00
D(E_F) (states/eV per cell): 4.71
Total energy (eV/atom): -4.95
Space-group type: Fm-3m

---

Entry 2:
The following is a PBE-GGA calculation of LaNb2H2 after structural relaxation, from the Alexandria database.

Cell and atoms, written as extended XYZ:
```
10
Lattice="7.551 0.000 0.000 0.000 7.551 0.000 0.000 0.000 2.865" Properties=species:S:1:pos:R:3 pbc="T T T"
Nb 2.879 6.655 0.000
Nb 6.655 4.672 0.000
Nb 0.896 2.879 0.000
Nb 4.672 0.896 0.000
H 3.030 0.746 1.433
H 4.521 6.805 1.433
H 6.805 3.030 1.433
H 0.746 4.521 1.433
La 3.776 3.776 0.000
La 0.000 0.000 0.000
```

Magnetic moment (μB/atom): 0.02
D(E_F) (states/eV per cell): 6.28
Total energy (eV/atom): -5.66
Space-group type: P4/mbm

---

Entry 3:
The following is a PBE-GGA calculation of La2NbH after structural relaxation, from the Alexandria database.

Cell and atoms, written as extended XYZ:
```
8
Lattice="-2.956 1.255 4.575 2.449 -4.212 2.738 4.411 2.485 5.582" Properties=species:S:1:pos:R:3 pbc="T T T"
H -0.253 -1.479 3.656
H 3.303 -1.603 5.989
La 2.744 -0.516 10.451
La -0.293 0.818 4.372
La 3.238 0.548 7.064
La 2.118 -1.793 3.904
Nb 0.000 0.000 0.000
Nb 0.601 1.131 6.907
```

Magnetic moment (μB/atom): 0.37
D(E_F) (states/eV per cell): 10.35
Total energy (eV/atom): -5.28
Space-group type: I-42d

---

Entry 4:
The following is a PBE-GGA calculation of LaNb3H after structural relaxation, from the Alexandria database.

Cell and atoms, written as extended XYZ:
```
5
Lattice="-3.463 -1.024 2.618 2.663 0.135 3.575 -0.900 4.339 0.507" Properties=species:S:1:pos:R:3 pbc="T T T"
La -0.850 1.725 3.350
Nb -0.450 2.170 0.253
Nb -1.732 -0.512 1.309
Nb 1.332 0.067 1.788
H 0.000 0.000 0.000
```

Magnetic moment (μB/atom): 0.00
D(E_F) (states/eV per cell): 8.88
Total energy (eV/atom): -7.23
Space-group type: Pm-3m

---

Entry 5:
The following is a PBE-GGA calculation of LaNbSbH2 after structural relaxation, from the Alexandria database.

Cell and atoms, written as extended XYZ:
```
5
Lattice="4.292 0.000 0.000 0.000 6.056 0.000 0.000 0.000 4.292" Properties=species:S:1:pos:R:3 pbc="T T T"
Nb 0.000 0.000 0.000
H 2.146 0.000 0.000
H 0.000 0.000 2.146
Sb 2.146 3.028 2.146
La 0.000 3.028 0.000
```

Magnetic moment (μB/atom): 0.38
D(E_F) (states/eV per cell): 3.85
Total energy (eV/atom): -4.66
Space-group type: P4/mmm

---

Entry 6:
The following is a PBE-GGA calculation of La2NbHSe after structural relaxation, from the Alexandria database.

Cell and atoms, written as extended XYZ:
```
5
Lattice="-1.094 5.804 -0.309 -3.111 -0.660 -1.387 -2.379 -0.160 5.413" Properties=species:S:1:pos:R:3 pbc="T T T"
Nb -3.292 2.492 1.859
H -1.555 -0.330 -0.693
La -1.190 -0.080 2.706
La -0.547 2.902 -0.154
Se 0.000 0.000 0.000
```

Magnetic moment (μB/atom): 0.00
D(E_F) (states/eV per cell): 5.74
Total energy (eV/atom): -5.27
Space-group type: P4/mmm

---

Entry 7:
The following is a PBE-GGA calculation of La3NdH8 after structural relaxation, from the Alexandria database.

Cell and atoms, written as extended XYZ:
```
12
Lattice="5.592 0.000 0.000 0.000 5.592 0.000 0.000 0.000 5.592" Properties=species:S:1:pos:R:3 pbc="T T T"
H 1.375 4.217 4.217
H 4.217 1.375 1.375
H 1.375 4.217 1.375
H 4.217 1.375 4.217
H 4.217 4.217 1.375
H 1.375 1.375 4.217
H 4.217 4.217 4.217
H 1.375 1.375 1.375
La 2.796 0.000 2.796
La 2.796 2.796 0.000
La 0.000 2.796 2.796
Nd 0.000 0.000 0.000
```

Magnetic moment (μB/atom): 0.00
D(E_F) (states/eV per cell): 2.52
Total energy (eV/atom): -4.52
Space-group type: Pm-3m

---

Entry 8:
The following is a PBE-GGA calculation of LaNdH2 after structural relaxation, from the Alexandria database.

Cell and atoms, written as extended XYZ:
```
8
Lattice="-1.646 -2.491 -2.235 3.721 0.237 0.107 0.258 -8.032 8.762" Properties=species:S:1:pos:R:3 pbc="T T T"
Nd 1.996 -2.680 1.517
Nd 0.336 -7.606 5.118
H 0.239 -4.587 1.825
H 2.157 -7.694 6.987
H 2.093 -5.699 4.810
H 0.175 -2.592 -0.352
La 0.129 -4.016 4.381
La 0.000 0.000 0.000
```

Magnetic moment (μB/atom): 0.00
D(E_F) (states/eV per cell): 2.87
Total energy (eV/atom): -4.48
Space-group type: P6_3/mmc

---

Entry 9:
The following is a PBE-GGA calculation of La2NdH6 after structural relaxation, from the Alexandria database.

Cell and atoms, written as extended XYZ:
```
9
Lattice="-3.884 -0.323 0.570 0.642 -1.216 3.691 1.351 8.721 0.536" Properties=species:S:1:pos:R:3 pbc="T T T"
H 0.094 6.074 4.086
H 0.186 3.368 3.178
H -2.077 3.814 1.618
H -2.169 6.520 2.525
H 0.278 0.662 2.271
H -1.985 1.109 0.711
Nd 0.000 0.000 0.000
La -1.710 1.853 3.009
La -0.181 5.330 1.787
```

Magnetic moment (μB/atom): 0.00
D(E_F) (states/eV per cell): 2.83
Total energy (eV/atom): -4.51
Space-group type: I4/mmm

---

Entry 10:
The following is a PBE-GGA calculation of La4NdH10 after structural relaxation, from the Alexandria database.

Cell and atoms, written as extended XYZ:
```
15
Lattice="3.928 0.000 0.483 1.934 3.418 0.483 -0.014 -0.008 16.340" Properties=species:S:1:pos:R:3 pbc="T T T"
La 4.679 2.729 10.590
La 3.519 2.052 3.811
La 1.168 0.681 6.715
La 2.329 1.358 13.494
H 4.383 2.556 13.004
H 2.031 1.184 15.918
H 3.223 1.879 6.221
H 2.625 1.531 11.084
H 1.465 0.854 4.302
H 4.976 2.902 8.179
H 0.872 0.509 9.127
H 0.274 0.159 13.998
H 3.816 2.226 1.388
H 5.574 3.251 3.308
Nd 0.000 0.000 0.000
```

Magnetic moment (μB/atom): 0.00
D(E_F) (states/eV per cell): 6.22
Total energy (eV/atom): -4.52
Space-group type: R-3m

---

Entry 11:
The following is a PBE-GGA calculation of LaNdH after structural relaxation, from the Alexandria database.

Cell and atoms, written as extended XYZ:
```
3
Lattice="-0.659 2.053 3.076 -0.035 -3.751 0.202 5.917 0.012 1.260" Properties=species:S:1:pos:R:3 pbc="T T T"
La 5.375 0.011 1.144
Nd 2.092 0.123 2.659
H 3.672 -1.808 1.993
```

Magnetic moment (μB/atom): 0.00
D(E_F) (states/eV per cell): 3.48
Total energy (eV/atom): -4.56
Space-group type: P3m1

---

Entry 12:
The following is a PBE-GGA calculation of La5Nd3H12 after structural relaxation, from the Alexandria database.

Cell and atoms, written as extended XYZ:
```
80
Lattice="11.993 0.000 0.000 -3.998 11.307 0.000 -3.998 -5.654 9.792" Properties=species:S:1:pos:R:3 pbc="T T T"
Nd 0.999 -0.707 3.672
Nd 8.995 0.000 2.448
Nd 4.997 0.707 3.672
Nd 2.998 0.000 7.344
Nd -0.999 4.947 6.120
Nd -2.998 -2.120 8.568
Nd 6.996 3.533 1.224
Nd -4.997 5.654 7.344
Nd -2.998 2.120 8.568
Nd 2.998 6.360 6.120
Nd 0.999 5.654 2.448
Nd 6.996 7.774 1.224
H -2.657 6.141 7.547
H 6.152 2.895 3.377
H 3.339 -1.126 3.351
H 2.657 1.126 3.351
H 4.677 -0.653 5.622
H 3.842 1.545 5.715
H -4.153 8.412 3.377
H -0.679 6.307 4.170
H 8.674 2.369 2.651
H -4.174 -0.054 8.248
H 1.823 -1.311 8.973
H -0.176 4.343 0.819
H 1.844 7.199 4.077
H 1.341 4.528 6.441
H -2.154 -4.304 9.092
H 8.151 -2.758 6.416
H -1.341 -0.639 4.196
H 0.658 6.780 6.441
H 2.175 6.964 0.819
H 2.678 5.000 4.170
H 4.174 -1.365 9.066
H 0.155 4.108 4.077
H 2.154 -1.545 5.715
H 5.318 1.715 1.519
H 4.174 1.311 8.973
H -0.176 7.018 0.726
H -1.320 3.938 8.273
H 5.821 5.600 1.545
H -3.339 5.015 5.597
H 7.840 1.350 0.701
H 5.318 8.939 2.651
H 1.823 1.365 9.066
H -3.842 4.304 9.092
H 2.175 4.289 0.726
H -2.154 2.758 6.416
H -4.677 3.285 7.141
H 7.337 0.639 4.196
H -0.658 0.487 2.245
H 7.316 -3.938 8.273
H 1.320 0.653 5.622
H 6.152 9.957 0.701
H 6.655 -0.487 2.245
H 8.171 5.707 1.545
H 4.656 5.166 7.547
H 5.338 6.292 5.597
H -1.320 -3.285 7.141
H -1.823 0.054 8.248
H -3.319 9.592 1.519
La 3.998 5.654 0.000
La 0.999 3.533 8.568
La 2.998 8.480 2.448
La -2.998 6.360 3.672
La 1.999 2.827 4.896
La 5.997 0.000 0.000
La -0.999 9.187 1.224
La 2.998 2.120 1.224
La -0.999 2.827 2.448
La -1.999 5.654 0.000
La 0.999 -2.827 7.344
La 4.997 4.947 3.672
La 0.000 0.000 0.000
La -1.999 -2.827 4.896
La -0.999 0.707 6.120
La 4.997 2.827 7.344
La 3.998 -2.827 4.896
La 4.997 -3.533 8.568
La -3.998 2.827 4.896
La 6.996 -0.707 6.120
```

Magnetic moment (μB/atom): 0.00
D(E_F) (states/eV per cell): 61.93
Total energy (eV/atom): -4.39
Space-group type: Ia-3d